[1]
The following is a DFT calculation (PBEsol) of a geometry-optimized Si2AgTe structure.

The value obtained for the volume is 76.8 Å³ per cell. As for the total energy: -4.04 eV per atom. Its offset from the most stable computed form is 0.88 eV per formula unit.

Geometry as CIF:
```
data_Si2AgTe
_cell_length_a 4.670
_cell_length_b 4.670
_cell_length_c 3.521
_cell_angle_alpha 90.00
_cell_angle_beta 90.00
_cell_angle_gamma 90.00
_space_group_name_H-M_alt 'P 4/m m m'
_space_group_IT_number 123
_space_group_name_Hall '-P 4 2'
loop_
_atom_site_label
_atom_site_fract_x
_atom_site_fract_y
_atom_site_fract_z
Si1 0.000 0.500 0.000
Ag1 0.000 0.000 0.500
Te1 0.500 0.500 0.500
```

[2]
The following is a DFT calculation (PBEsol) of a geometry-optimized TaW2Cl structure.

The value obtained for the volume is 259.4 Å³ per cell. As for the total energy: -9.42 eV per atom. Its offset from the most stable computed form is 2.85 eV per formula unit.

Geometry as CIF:
```
data_TaW2Cl
_cell_length_a 6.378
_cell_length_b 6.378
_cell_length_c 6.378
_cell_angle_alpha 90.00
_cell_angle_beta 90.00
_cell_angle_gamma 90.00
_space_group_name_H-M_alt 'F m -3 m'
_space_group_IT_number 225
_space_group_name_Hall '-F 4 2 3'
loop_
_atom_site_label
_atom_site_fract_x
_atom_site_fract_y
_atom_site_fract_z
Ta1 0.000 0.000 0.000
W1 0.250 0.250 0.250
Cl1 0.000 0.000 0.500
```

[3]
The following is a DFT calculation (PBEsol) of a geometry-optimized YZn2NiPt structure.

The value obtained for the volume is 100.7 Å³ per cell. As for the total energy: -4.55 eV per atom. The calculation puts the energy of formation at 0.073 eV/atom.

Geometry as CIF:
```
data_YZn2NiPt
_cell_length_a 4.621
_cell_length_b 4.621
_cell_length_c 4.718
_cell_angle_alpha 90.00
_cell_angle_beta 90.00
_cell_angle_gamma 90.00
_space_group_name_H-M_alt 'P 4/m m m'
_space_group_IT_number 123
_space_group_name_Hall '-P 4 2'
loop_
_atom_site_label
_atom_site_fract_x
_atom_site_fract_y
_atom_site_fract_z
Y1 0.000 0.000 0.000
Zn1 0.000 0.500 0.500
Ni1 0.500 0.500 0.000
Pt1 0.500 0.500 0.500
```

[4]
The following is a DFT calculation (PBEsol) of a geometry-optimized ZrTa4 structure.

The value obtained for the volume is 184.6 Å³ per cell. As for the total energy: -11.79 eV per atom. The calculation puts the energy of formation at 0.073 eV/atom.

Geometry as CIF:
```
data_ZrTa4
_cell_length_a 7.480
_cell_length_b 7.480
_cell_length_c 3.298
_cell_angle_alpha 90.00
_cell_angle_beta 90.00
_cell_angle_gamma 90.00
_space_group_name_H-M_alt 'I 4/m'
_space_group_IT_number 87
_space_group_name_Hall '-I 4'
loop_
_atom_site_label
_atom_site_fract_x
_atom_site_fract_y
_atom_site_fract_z
Zr1 0.000 0.000 0.000
Ta1 0.107 0.312 0.500
```

[5]
The following is a DFT calculation (PBEsol) of a geometry-optimized YCd2Re structure.

The value obtained for the volume is 79.4 Å³ per cell. As for the total energy: -5.27 eV per atom. The calculation puts the energy of formation at 0.363 eV/atom.

Geometry as CIF:
```
data_YCd2Re
_cell_length_a 3.642
_cell_length_b 3.642
_cell_length_c 5.988
_cell_angle_alpha 90.00
_cell_angle_beta 90.00
_cell_angle_gamma 90.00
_space_group_name_H-M_alt 'P 4/m m m'
_space_group_IT_number 123
_space_group_name_Hall '-P 4 2'
loop_
_atom_site_label
_atom_site_fract_x
_atom_site_fract_y
_atom_site_fract_z
Y1 0.000 0.000 0.000
Cd1 0.500 0.500 0.275
Re1 0.000 0.000 0.500
```

[6]
The following is a DFT calculation (PBEsol) of a geometry-optimized PdClF2 structure.

The value obtained for the volume is 201.7 Å³ per cell. As for the total energy: -3.00 eV per atom.

Geometry as CIF:
```
data_PdClF2
_cell_length_a 5.865
_cell_length_b 5.865
_cell_length_c 5.865
_cell_angle_alpha 90.00
_cell_angle_beta 90.00
_cell_angle_gamma 90.00
_space_group_name_H-M_alt 'F m -3 m'
_space_group_IT_number 225
_space_group_name_Hall '-F 4 2 3'
loop_
_atom_site_label
_atom_site_fract_x
_atom_site_fract_y
_atom_site_fract_z
Pd1 0.000 0.000 0.000
Cl1 0.000 0.000 0.500
F1 0.250 0.250 0.250
```

[7]
The following is a DFT calculation (PBEsol) of a geometry-optimized ReRhI2O structure.

The value obtained for the volume is 105.3 Å³ per cell. As for the total energy: -5.62 eV per atom.

Geometry as CIF:
```
data_ReRhI2O
_cell_length_a 5.355
_cell_length_b 5.355
_cell_length_c 3.672
_cell_angle_alpha 90.00
_cell_angle_beta 90.00
_cell_angle_gamma 90.00
_space_group_name_H-M_alt 'P 4/m m m'
_space_group_IT_number 123
_space_group_name_Hall '-P 4 2'
loop_
_atom_site_label
_atom_site_fract_x
_atom_site_fract_y
_atom_site_fract_z
Re1 0.000 0.000 0.000
Rh1 0.500 0.500 0.500
I1 0.000 0.500 0.000
O1 0.000 0.000 0.500
```

[8]
The following is a DFT calculation (PBEsol) of a geometry-optimized SrSe2Cl structure.

The value obtained for the volume is 222.1 Å³ per cell. As for the total energy: -4.13 eV per atom. Its offset from the most stable computed form is 0.31 eV per formula unit.

Geometry as CIF:
```
data_SrSe2Cl
_cell_length_a 8.610
_cell_length_b 4.136
_cell_length_c 6.465
_cell_angle_alpha 90.00
_cell_angle_beta 105.25
_cell_angle_gamma 90.00
_space_group_name_H-M_alt 'C 1 m 1'
_space_group_IT_number 8
loop_
_space_group_symop_operation_xyz
'x,y,z'
'x,-y,z'
'x+1/2,y+1/2,z'
'x+1/2,-y+1/2,z'
loop_
_atom_site_label
_atom_site_fract_x
_atom_site_fract_y
_atom_site_fract_z
Sr1 0.000 0.000 0.000
Se1 0.241 0.500 0.315
Se2 0.490 0.000 0.396
Cl1 0.275 0.000 0.815
```

[9]
The following is a DFT calculation (PBEsol) of a geometry-optimized AlMo2W structure.

The value obtained for the volume is 121.2 Å³ per cell. As for the total energy: -10.23 eV per atom. The calculation puts the energy of formation at 0.133 eV/atom.

Geometry as CIF:
```
data_AlMo2W
_cell_length_a 3.716
_cell_length_b 3.716
_cell_length_c 8.777
_cell_angle_alpha 90.00
_cell_angle_beta 90.00
_cell_angle_gamma 90.00
_space_group_name_H-M_alt 'I 4/m m m'
_space_group_IT_number 139
_space_group_name_Hall '-I 4 2'
loop_
_atom_site_label
_atom_site_fract_x
_atom_site_fract_y
_atom_site_fract_z
Al1 0.000 0.000 0.000
Mo1 0.000 0.500 0.250
W1 0.000 0.000 0.500
```

[10]
The following is a DFT calculation (PBEsol) of a geometry-optimized KV2FeAg2O8 structure.

The value obtained for the volume is 176.5 Å³ per cell. As for the total energy: -7.20 eV per atom.

Geometry as CIF:
```
data_KV2FeAg2O8
_cell_length_a 5.2996
_cell_length_b 5.2996
_cell_length_c 7.2554
_cell_angle_alpha 90.00
_cell_angle_beta 90.00
_cell_angle_gamma 120.00
_space_group_name_H-M_alt 'P -3'
_space_group_IT_number 147
loop_
_space_group_symop_operation_xyz
'x,y,z'
'-x,-y,-z'
'-y,x-y,z'
'y,-x+y,-z'
'-x+y,-x,z'
'x-y,x,-z'
loop_
_atom_site_label
_atom_site_fract_x
_atom_site_fract_y
_atom_site_fract_z
K1 0.0000 0.0000 0.0000
V1 0.3333 0.6667 0.2768
Fe1 0.0000 0.0000 0.5000
Ag1 0.3333 0.6667 0.7389
O1 0.0715 0.3179 0.3509
O2 0.3333 0.6667 0.0464
```

[11]
The following is a DFT calculation (PBEsol) of a geometry-optimized Sm3MgTi4O14 structure.

The value obtained for the volume is 775.7 Å³ per cell. As for the total energy: -8.74 eV per atom.

Geometry as CIF:
```
data_Sm3MgTi4O14
_cell_length_a 7.2144
_cell_length_b 7.2144
_cell_length_c 17.2101
_cell_angle_alpha 90.00
_cell_angle_beta 90.00
_cell_angle_gamma 120.00
_space_group_name_H-M_alt 'R -3 m'
_space_group_IT_number 166
_space_group_name_Hall '-R 3 2"'
loop_
_atom_site_label
_atom_site_fract_x
_atom_site_fract_y
_atom_site_fract_z
Sm1 0.0000 0.5000 0.0000
Mg1 0.0000 0.0000 0.5000
Ti1 0.0000 0.0000 0.0000
Ti2 0.0000 0.5000 0.5000
O1 0.0000 0.0000 0.3853
O2 0.0605 0.5303 0.6108
O3 0.0712 0.5356 0.8582
```

[12]
The following is a DFT calculation (PBEsol) of a geometry-optimized Ca2ScMn structure.

The value obtained for the volume is 107.1 Å³ per cell. As for the total energy: -4.66 eV per atom. Its offset from the most stable computed form is 0.02 eV per formula unit. The calculation puts the energy of formation at 0.500 eV/atom.

Geometry as CIF:
```
data_Ca2ScMn
_cell_length_a 3.547
_cell_length_b 3.547
_cell_length_c 8.515
_cell_angle_alpha 90.00
_cell_angle_beta 90.00
_cell_angle_gamma 90.00
_space_group_name_H-M_alt 'P 4/m m m'
_space_group_IT_number 123
_space_group_name_Hall '-P 4 2'
loop_
_atom_site_label
_atom_site_fract_x
_atom_site_fract_y
_atom_site_fract_z
Ca1 0.000 0.000 0.213
Sc1 0.500 0.500 0.500
Mn1 0.500 0.500 0.000
```

[13]
The following is a DFT calculation (PBEsol) of a geometry-optimized TaP2Au structure.

The value obtained for the volume is 244.3 Å³ per cell. As for the total energy: -6.88 eV per atom. Its offset from the most stable computed form is 0.91 eV per formula unit. The calculation puts the energy of formation at 0.130 eV/atom.

Geometry as CIF:
```
data_TaP2Au
_cell_length_a 6.252
_cell_length_b 6.252
_cell_length_c 6.252
_cell_angle_alpha 90.00
_cell_angle_beta 90.00
_cell_angle_gamma 90.00
_space_group_name_H-M_alt 'F m -3 m'
_space_group_IT_number 225
_space_group_name_Hall '-F 4 2 3'
loop_
_atom_site_label
_atom_site_fract_x
_atom_site_fract_y
_atom_site_fract_z
Ta1 0.000 0.000 0.000
P1 0.250 0.250 0.250
Au1 0.000 0.000 0.500
```

[14]
The following is a DFT calculation (PBEsol) of a geometry-optimized ReC4 structure.

The value obtained for the volume is 104.7 Å³ per cell. As for the total energy: -7.76 eV per atom. The calculation puts the energy of formation at 2.617 eV/atom.

Geometry as CIF:
```
data_ReC4
_cell_length_a 4.713
_cell_length_b 4.713
_cell_length_c 4.713
_cell_angle_alpha 90.00
_cell_angle_beta 90.00
_cell_angle_gamma 90.00
_space_group_name_H-M_alt 'I m -3 m'
_space_group_IT_number 229
_space_group_name_Hall '-I 4 2 3'
loop_
_atom_site_label
_atom_site_fract_x
_atom_site_fract_y
_atom_site_fract_z
Re1 0.000 0.000 0.000
C1 0.250 0.250 0.250
```

| no. | total magnetization (Bohr magnetons per cell) |
| --- | --- |
| 1 | 0.00 |
| 2 | 0.00 |
| 3 | 0.54 |
| 4 | 0.00 |
| 5 | 0.00 |
| 6 | 11.90 |
| 7 | 0.78 |
| 8 | 0.00 |
| 9 | 0.00 |
| 10 | 1.00 |
| 11 | 2.67 |
| 12 | 4.27 |
| 13 | 0.00 |
| 14 | 0.00 |